Arrangement i

# MnZn2Co PBEsol relaxed
# crystal system: tetragonal
# symmetry: P4/mmm
data_MnZn2Co
_chemical_formula_sum 'Mn1 Zn2 Co1'
_cell_length_a 3.615
_cell_length_b 3.615
_cell_length_c 3.730
_cell_angle_alpha 90.00
_cell_angle_beta 90.00
_cell_angle_gamma 90.00
_space_group_name_H-M_alt 'P 1'
_space_group_IT_number 1
loop_
_space_group_symop_operation_xyz
'x,y,z'
loop_
_atom_site_label
_atom_site_type_symbol
_atom_site_fract_x
_atom_site_fract_y
_atom_site_fract_z
Mn1 Mn 0.000 0.000 0.500
Zn1 Zn 0.500 0.000 0.000
Zn2 Zn 0.000 0.500 0.000
Co1 Co 0.500 0.500 0.500

Arrangement ii

# MnZn2Co PBEsol relaxed
# crystal system: cubic
# symmetry: F-43m
data_MnZn2Co
_chemical_formula_sum 'Mn1 Zn2 Co1'
_cell_length_a 4.092
_cell_length_b 4.092
_cell_length_c 4.092
_cell_angle_alpha 60.00
_cell_angle_beta 60.00
_cell_angle_gamma 60.00
_space_group_name_H-M_alt 'P 1'
_space_group_IT_number 1
loop_
_space_group_symop_operation_xyz
'x,y,z'
loop_
_atom_site_label
_atom_site_type_symbol
_atom_site_fract_x
_atom_site_fract_y
_atom_site_fract_z
Co1 Co 0.500 0.500 0.500
Mn1 Mn 0.250 0.250 0.250
Zn1 Zn 0.750 0.750 0.750
Zn2 Zn 0.000 0.000 0.000

Quick one: most stable of them? arrangement i

Arrangement i

# CdAsAu2 PBEsol relaxed
# crystal system: tetragonal
# symmetry: P4mm
data_CdAsAu2
_chemical_formula_sum 'Cd1 As1 Au2'
_cell_length_a 3.599
_cell_length_b 3.599
_cell_length_c 5.686
_cell_angle_alpha 90.00
_cell_angle_beta 90.00
_cell_angle_gamma 90.00
_space_group_name_H-M_alt 'P 1'
_space_group_IT_number 1
loop_
_space_group_symop_operation_xyz
'x,y,z'
loop_
_atom_site_label
_atom_site_type_symbol
_atom_site_fract_x
_atom_site_fract_y
_atom_site_fract_z
Au1 Au 0.500 0.500 0.256
Au2 Au 0.000 0.000 0.975
Cd1 Cd 0.000 0.000 0.480
As1 As 0.500 0.500 0.788

Arrangement ii

# CdAsAu2 PBEsol relaxed
# crystal system: tetragonal
# symmetry: P4/mmm
data_CdAsAu2
_chemical_formula_sum 'Cd1 As1 Au2'
_cell_length_a 4.061
_cell_length_b 4.212
_cell_length_c 4.212
_cell_angle_alpha 90.00
_cell_angle_beta 90.00
_cell_angle_gamma 90.00
_space_group_name_H-M_alt 'P 1'
_space_group_IT_number 1
loop_
_space_group_symop_operation_xyz
'x,y,z'
loop_
_atom_site_label
_atom_site_type_symbol
_atom_site_fract_x
_atom_site_fract_y
_atom_site_fract_z
Au1 Au 0.000 0.000 0.500
Au2 Au 0.000 0.500 0.000
Cd1 Cd 0.500 0.500 0.500
As1 As 0.500 0.000 0.000

Quick one: most stable of them? arrangement ii

Arrangement i

# Pm3Sc PBEsol relaxed
# crystal system: hexagonal
# symmetry: P6_3/mmc
data_Pm3Sc
_chemical_formula_sum 'Pm6 Sc2'
_cell_length_a 5.584
_cell_length_b 7.059
_cell_length_c 7.059
_cell_angle_alpha 120.00
_cell_angle_beta 90.00
_cell_angle_gamma 90.00
_space_group_name_H-M_alt 'P 1'
_space_group_IT_number 1
loop_
_space_group_symop_operation_xyz
'x,y,z'
loop_
_atom_site_label
_atom_site_type_symbol
_atom_site_fract_x
_atom_site_fract_y
_atom_site_fract_z
Sc1 Sc 0.250 0.667 0.333
Sc2 Sc 0.750 0.333 0.667
Pm1 Pm 0.250 0.170 0.830
Pm2 Pm 0.750 0.830 0.170
Pm3 Pm 0.250 0.661 0.830
Pm4 Pm 0.250 0.170 0.339
Pm5 Pm 0.750 0.339 0.170
Pm6 Pm 0.750 0.830 0.661

Arrangement ii

# Pm3Sc PBEsol relaxed
# crystal system: tetragonal
# symmetry: I4/mmm
data_Pm3Sc
_chemical_formula_sum 'Pm3 Sc1'
_cell_length_a 4.932
_cell_length_b 4.932
_cell_length_c 6.007
_cell_angle_alpha 114.24
_cell_angle_beta 114.24
_cell_angle_gamma 90.00
_space_group_name_H-M_alt 'P 1'
_space_group_IT_number 1
loop_
_space_group_symop_operation_xyz
'x,y,z'
loop_
_atom_site_label
_atom_site_type_symbol
_atom_site_fract_x
_atom_site_fract_y
_atom_site_fract_z
Pm1 Pm 0.500 0.500 0.000
Pm2 Pm 0.750 0.250 0.500
Pm3 Pm 0.250 0.750 0.500
Sc1 Sc 0.000 0.000 0.000

Quick one: most stable of them? arrangement ii